[1]
Computed, not measured: a geometry-optimized Ba2YTiPt structure at the GGA-PBE level of DFT.

Lattice parameters (Å, degrees): 6.2119 4.8131 6.2119 90.00 90.00 90.00
Fractional coordinates of all 5 atoms:
Y  0.0000  0.0000  0.0000
Ba  0.0000  0.0000  0.5000
Ba  0.5000  0.0000  0.0000
Pt  0.5000  0.5000  0.5000
Ti  0.0000  0.5000  0.0000

Output
Volume: 37.1 Å³ per atom
N(E_F): 5.57 states/eV/f.u.
Space group: P4/mmm (123)
Raw total energy: -3.74 eV/atom

***

[2]
Computed, not measured: a geometry-optimized Mo4C3 structure at the GGA-PBE level of DFT.

Lattice parameters (Å, degrees): 4.3172 4.3172 4.3172 90.00 90.00 90.00
Fractional coordinates of all 7 atoms:
Mo  0.0000  0.0000  0.0000
Mo  0.0000  0.5000  0.5000
Mo  0.5000  0.0000  0.5000
Mo  0.5000  0.5000  0.0000
C  0.0000  0.5000  0.0000
C  0.0000  0.0000  0.5000
C  0.5000  0.0000  0.0000

Output
Volume: 11.5 Å³ per atom
N(E_F): 6.25 states/eV/f.u.
Space group: Pm-3m (221)
Raw total energy: -10.01 eV/atom

***

[3]
Computed, not measured: a geometry-optimized PmNdCdHg structure at the GGA-PBE level of DFT.

Lattice parameters (Å, degrees): 5.4205 5.4205 5.4205 60.00 60.00 60.00
Fractional coordinates of all 4 atoms:
Cd  0.2500  0.2500  0.2500
Nd  0.0000  0.0000  0.0000
Hg  0.7500  0.7500  0.7500
Pm  0.5000  0.5000  0.5000

Output
Volume: 28.2 Å³ per atom
N(E_F): 4.04 states/eV/f.u.
Space group: F-43m (216)
Raw total energy: -3.08 eV/atom

***

[4]
Computed, not measured: a geometry-optimized Pr2Ho2Hg3 structure at the GGA-PBE level of DFT.

Lattice parameters (Å, degrees): 5.2327 5.2335 9.1814 90.00 106.56 119.99
Fractional coordinates of all 7 atoms:
Pr  0.2551  0.1278  0.3824
Pr  0.7449  0.8722  0.6176
Ho  0.7535  0.3770  0.1301
Ho  0.2465  0.6230  0.8699
Hg  0.0000  0.0000  0.0000
Hg  0.5085  0.2539  0.7629
Hg  0.4915  0.7461  0.2371

Output
Volume: 29.4 Å³ per atom
N(E_F): 9.23 states/eV/f.u.
Space group: R-3m (166)
Raw total energy: -3.12 eV/atom

***

[5]
Computed, not measured: a geometry-optimized Cd2Rh structure at the GGA-PBE level of DFT.

Lattice parameters (Å, degrees): 4.5033 4.5033 4.5033 60.00 60.00 60.00
Fractional coordinates of all 3 atoms:
Cd  0.7500  0.7500  0.7500
Cd  0.2500  0.2500  0.2500
Rh  0.0000  0.0000  0.0000

Output
Volume: 21.5 Å³ per atom
N(E_F): 1.31 states/eV/f.u.
Space group: Fm-3m (225)
Raw total energy: -3.02 eV/atom

***

[6]
Computed, not measured: a geometry-optimized NaLiSe2Br structure at the GGA-PBE level of DFT.

Lattice parameters (Å, degrees): 4.4743 4.4743 7.0060 90.00 90.00 90.00
Fractional coordinates of all 5 atoms:
Na  0.5000  0.5000  0.5000
Se  0.0000  0.5000  0.0000
Se  0.5000  0.0000  0.0000
Br  0.0000  0.0000  0.5000
Li  0.0000  0.0000  0.0000

Output
Volume: 28.1 Å³ per atom
Uncorrected formation energy: -0.45 eV/atom
N(E_F): 3.80 states/eV/f.u.
Space group: P4/mmm (123)
Raw total energy: -2.82 eV/atom
Excess energy over the best structure of this formula in the dataset: 0.000 eV per atom